#i
Below is an optimized crystal structure of Zn3Cu3Au, with properties calculated at the PBE-GGA level.

Geometry as CIF:
```
data_Zn3Cu3Au
_symmetry_space_group_name_H-M 'P -1'
_symmetry_Int_Tables_number 2
_cell_length_a 5.096
_cell_length_b 6.561
_cell_length_c 6.917
_cell_angle_alpha 65.13
_cell_angle_beta 69.41
_cell_angle_gamma 75.28
loop_
_symmetry_equiv_pos_as_xyz
'x,y,z'
'-x,-y,-z'
loop_
_atom_site_label
_atom_site_type_symbol
_atom_site_fract_x
_atom_site_fract_y
_atom_site_fract_z
Zn1 Zn 0.128 0.481 0.145
Zn2 Zn 0.162 0.682 0.402
Zn3 Zn 0.267 0.046 0.436
Cu1 Cu 0.024 0.089 0.133
Cu2 Cu 0.291 0.227 0.723
Cu3 Cu 0.450 0.826 0.984
Au1 Au 0.408 0.617 0.716
```

#ii
Below is an optimized crystal structure of Zn3Cu3Au, with properties calculated at the PBE-GGA level.

Geometry as CIF:
```
data_Zn3Cu3Au
_symmetry_space_group_name_H-M 'R -3'
_symmetry_Int_Tables_number 148
_symmetry_space_group_name_Hall '-R 3'
_cell_length_a 6.2002
_cell_length_b 6.2002
_cell_length_c 18.8905
_cell_angle_alpha 90.00
_cell_angle_beta 90.00
_cell_angle_gamma 120.00
loop_
_atom_site_label
_atom_site_type_symbol
_atom_site_fract_x
_atom_site_fract_y
_atom_site_fract_z
Zn1 Zn 0.0437 0.7736 0.0640
Cu1 Cu 0.0432 0.7777 0.1994
Au1 Au 0.0000 0.0000 0.3205
```

Least stable: #ii

#i
Below is an optimized crystal structure of Zn3Cu8Au, with properties calculated at the PBE-GGA level.

Geometry as CIF:
```
data_Zn3Cu8Au
_symmetry_space_group_name_H-M 'I -4 2 m'
_symmetry_Int_Tables_number 121
_symmetry_space_group_name_Hall 'I -4 2'
_cell_length_a 6.688
_cell_length_b 6.688
_cell_length_c 8.732
_cell_angle_alpha 90.00
_cell_angle_beta 90.00
_cell_angle_gamma 90.00
loop_
_atom_site_label
_atom_site_type_symbol
_atom_site_fract_x
_atom_site_fract_y
_atom_site_fract_z
Zn1 Zn 0.000 0.000 0.000
Zn2 Zn 0.000 0.500 0.250
Cu1 Cu 0.137 0.137 0.229
Cu2 Cu 0.239 0.239 0.965
Au1 Au 0.000 0.000 0.500
```

#ii
Below is an optimized crystal structure of Zn3Cu8Au, with properties calculated at the PBE-GGA level.

Geometry as CIF:
```
data_Zn3Cu8Au
_symmetry_space_group_name_H-M 'P 1'
_symmetry_Int_Tables_number 1
_cell_length_a 2.684
_cell_length_b 7.640
_cell_length_c 7.949
_cell_angle_alpha 85.85
_cell_angle_beta 80.98
_cell_angle_gamma 80.38
loop_
_symmetry_equiv_pos_as_xyz
'x,y,z'
loop_
_atom_site_label
_atom_site_type_symbol
_atom_site_fract_x
_atom_site_fract_y
_atom_site_fract_z
Zn1 Zn 0.000 0.000 0.000
Zn2 Zn 0.146 0.548 0.173
Zn3 Zn 0.540 0.177 0.738
Cu1 Cu 0.219 0.879 0.696
Cu2 Cu 0.310 0.185 0.206
Cu3 Cu 0.364 0.530 0.737
Cu4 Cu 0.463 0.835 0.244
Cu5 Cu 0.680 0.714 0.936
Cu6 Cu 0.776 0.021 0.447
Cu7 Cu 0.844 0.353 0.964
Cu8 Cu 0.911 0.688 0.494
Au1 Au 0.602 0.375 0.441
```

Least stable: #i

#i
Below is an optimized crystal structure of Zn2Cu3Au3, with properties calculated at the PBE-GGA level.

Geometry as CIF:
```
data_Zn2Cu3Au3
_symmetry_space_group_name_H-M 'C 1 2/m 1'
_symmetry_Int_Tables_number 12
_cell_length_a 16.199
_cell_length_b 3.789
_cell_length_c 4.012
_cell_angle_alpha 90.00
_cell_angle_beta 104.19
_cell_angle_gamma 90.00
loop_
_symmetry_equiv_pos_as_xyz
'x,y,z'
'-x,-y,-z'
'-x,y,-z'
'x,-y,z'
'x+1/2,y+1/2,z'
'-x+1/2,-y+1/2,-z'
'-x+1/2,y+1/2,-z'
'x+1/2,-y+1/2,z'
loop_
_atom_site_label
_atom_site_type_symbol
_atom_site_fract_x
_atom_site_fract_y
_atom_site_fract_z
Zn1 Zn 0.247 0.000 0.246
Cu1 Cu 0.000 0.500 0.500
Cu2 Cu 0.125 0.500 0.125
Au1 Au 0.000 0.000 0.000
Au2 Au 0.131 0.000 0.630
```

#ii
Below is an optimized crystal structure of Zn2Cu3Au3, with properties calculated at the PBE-GGA level.

Geometry as CIF:
```
data_Zn2Cu3Au3
_symmetry_space_group_name_H-M 'R 3 2'
_symmetry_Int_Tables_number 155
_symmetry_space_group_name_Hall 'R 3 2"'
_cell_length_a 6.8142
_cell_length_b 6.8142
_cell_length_c 9.2182
_cell_angle_alpha 90.00
_cell_angle_beta 90.00
_cell_angle_gamma 120.00
loop_
_atom_site_label
_atom_site_type_symbol
_atom_site_fract_x
_atom_site_fract_y
_atom_site_fract_z
Zn1 Zn 0.0000 0.0000 0.2436
Cu1 Cu 0.0000 0.2239 0.5000
Au1 Au 0.0000 0.7430 0.0000
```

Least stable: #ii

#i
Below is an optimized crystal structure of Zn2CuAu7, with properties calculated at the PBE-GGA level.

Geometry as CIF:
```
data_Zn2CuAu7
_symmetry_space_group_name_H-M 'P 3 m 1'
_symmetry_Int_Tables_number 156
_cell_length_a 4.4040
_cell_length_b 4.4040
_cell_length_c 10.9099
_cell_angle_alpha 90.00
_cell_angle_beta 90.00
_cell_angle_gamma 120.00
loop_
_symmetry_equiv_pos_as_xyz
'x,y,z'
'-y,x-y,z'
'-x+y,-x,z'
'-y,-x,z'
'-x+y,y,z'
'x,x-y,z'
loop_
_atom_site_label
_atom_site_type_symbol
_atom_site_fract_x
_atom_site_fract_y
_atom_site_fract_z
Zn1 Zn 0.0000 0.0000 0.0000
Zn2 Zn 0.3333 0.6667 0.6719
Cu1 Cu 0.6667 0.3333 0.3369
Au1 Au 0.0000 0.0000 0.2964
Au2 Au 0.0000 0.0000 0.7501
Au3 Au 0.3333 0.6667 0.1758
Au4 Au 0.3333 0.6667 0.4371
Au5 Au 0.3333 0.6667 0.9082
Au6 Au 0.6667 0.3333 0.0606
Au7 Au 0.6667 0.3333 0.5872
```

#ii
Below is an optimized crystal structure of Zn2CuAu7, with properties calculated at the PBE-GGA level.

Geometry as CIF:
```
data_Zn2CuAu7
_symmetry_space_group_name_H-M 'C m m m'
_symmetry_Int_Tables_number 65
_symmetry_space_group_name_Hall '-C 2 2'
_cell_length_a 7.510
_cell_length_b 13.135
_cell_length_c 4.369
_cell_angle_alpha 90.00
_cell_angle_beta 90.00
_cell_angle_gamma 90.00
loop_
_atom_site_label
_atom_site_type_symbol
_atom_site_fract_x
_atom_site_fract_y
_atom_site_fract_z
Zn1 Zn 0.000 0.199 0.000
Cu1 Cu 0.000 0.500 0.500
Au1 Au 0.000 0.000 0.000
Au2 Au 0.000 0.302 0.500
Au3 Au 0.187 0.392 0.000
```

Least stable: #ii

#i
Below is an optimized crystal structure of Zn4Cu2Au3, with properties calculated at the PBE-GGA level.

Geometry as CIF:
```
data_Zn4Cu2Au3
_symmetry_space_group_name_H-M 'P -1'
_symmetry_Int_Tables_number 2
_cell_length_a 3.768
_cell_length_b 4.860
_cell_length_c 8.474
_cell_angle_alpha 106.19
_cell_angle_beta 90.38
_cell_angle_gamma 112.34
loop_
_symmetry_equiv_pos_as_xyz
'x,y,z'
'-x,-y,-z'
loop_
_atom_site_label
_atom_site_type_symbol
_atom_site_fract_x
_atom_site_fract_y
_atom_site_fract_z
Zn1 Zn 0.009 0.022 0.334
Zn2 Zn 0.334 0.665 0.108
Cu1 Cu 0.336 0.670 0.786
Au1 Au 0.000 0.000 0.000
Au2 Au 0.330 0.663 0.424
```

#ii
Below is an optimized crystal structure of Zn4Cu2Au3, with properties calculated at the PBE-GGA level.

Geometry as CIF:
```
data_Zn4Cu2Au3
_symmetry_space_group_name_H-M 'I m m m'
_symmetry_Int_Tables_number 71
_symmetry_space_group_name_Hall '-I 2 2'
_cell_length_a 2.927
_cell_length_b 7.261
_cell_length_c 13.254
_cell_angle_alpha 90.00
_cell_angle_beta 90.00
_cell_angle_gamma 90.00
loop_
_atom_site_label
_atom_site_type_symbol
_atom_site_fract_x
_atom_site_fract_y
_atom_site_fract_z
Zn1 Zn 0.000 0.178 0.168
Cu1 Cu 0.000 0.327 0.000
Au1 Au 0.000 0.000 0.350
Au2 Au 0.000 0.500 0.500
```

Least stable: #ii